[1]
The following is a GGA-PBE calculation of an optimized crystal structure of Sm3Ho2Er6In, from Alexandria via LeMat-Bulk.

a = 6.086 Å, b = 6.086 Å, c = 11.590 Å
α = 95.03°, β = 95.03°, γ = 120.01°
Fractional coordinates of all 12 atoms:
Er1 0.081 0.409 0.244
Sm1 0.500 0.500 0.500
In1 0.000 0.000 0.000
Ho1 0.334 0.666 0.000
Sm2 0.167 0.833 0.500
Er2 0.752 0.752 0.245
Er3 0.591 0.919 0.756
Er4 0.919 0.591 0.756
Er5 0.248 0.248 0.755
Er6 0.409 0.081 0.244
Ho2 0.666 0.334 0.000
Sm3 0.833 0.167 0.500

## Properties
Energy relative to the elements ... -0.039 eV per atom
Magnetic moment ... 0.058 μB/f.u.
DOS at the Fermi energy ... 17.00 states/eV per cell
Uncorrected energy ... -0.16505 hartree per atom

[2]
The following is a GGA-PBE calculation of an optimized crystal structure of Sm3Ho6Er2In, from Alexandria via LeMat-Bulk.

a = 6.102 Å, b = 6.102 Å, c = 11.595 Å
α = 95.04°, β = 95.04°, γ = 119.99°
Fractional coordinates of all 12 atoms:
Ho1 0.752 0.752 0.245
Ho2 0.409 0.081 0.244
Ho3 0.591 0.919 0.756
Er1 0.334 0.666 0.000
Sm1 0.500 0.500 0.500
In1 0.000 0.000 0.000
Sm2 0.833 0.167 0.500
Er2 0.666 0.334 0.000
Sm3 0.167 0.833 0.500
Ho4 0.248 0.248 0.755
Ho5 0.919 0.591 0.756
Ho6 0.081 0.409 0.244

## Properties
Energy relative to the elements ... -0.037 eV per atom
Magnetic moment ... 0.009 μB/f.u.
DOS at the Fermi energy ... 16.80 states/eV per cell
Uncorrected energy ... -0.16515 hartree per atom

[3]
The following is a GGA-PBE calculation of an optimized crystal structure of SmHo2ErIn4, from Alexandria via LeMat-Bulk.

a = 5.317 Å, b = 5.317 Å, c = 9.236 Å
α = 73.27°, β = 73.27°, γ = 60.00°
Fractional coordinates of all 8 atoms:
In1 0.126 0.126 0.622
Ho1 0.750 0.750 0.749
In2 0.376 0.376 0.871
Er1 0.500 0.500 0.500
In3 0.874 0.874 0.378
Sm1 0.000 0.000 0.000
Ho2 0.250 0.250 0.251
In4 0.624 0.624 0.129

## Properties
Energy relative to the elements ... -0.458 eV per atom
Magnetic moment ... 0.000 μB/f.u.
DOS at the Fermi energy ... 3.84 states/eV per cell
Uncorrected energy ... -0.15183 hartree per atom